[1]
PmEuCdNi | PBE | relaxed

Values from the calculation:
M_tot = 7.0 μB per formula unit
ΔH_f (0 K) = -0.15 eV/atom
D(E_F) = 2.2391 states/eV/atom
space-group type = F-43m (216)

Unit cell a=5.2195 b=5.2195 c=5.2195 alpha=60.00 beta=60.00 gamma=60.00
Last column: magnetic moment on the atom in μB.
Fractional coordinates of all 4 atoms:
Eu1 0.0000 0.0000 0.0000  -6.80
Ni1 0.2500 0.2500 0.2500  0.09
Cd1 0.7500 0.7500 0.7500  -0.01
Pm1 0.5000 0.5000 0.5000  -0.02

=====

[2]
PrEuCdNi | PBE | relaxed

Values from the calculation:
M_tot = 7.0 μB per formula unit
ΔH_f (0 K) = -0.14 eV/atom
D(E_F) = 2.2494 states/eV/atom
space-group type = F-43m (216)

Unit cell a=5.2617 b=5.2617 c=5.2617 alpha=60.00 beta=60.00 gamma=60.00
Last column: magnetic moment on the atom in μB.
Fractional coordinates of all 4 atoms:
Eu1 0.0000 0.0000 0.0000  -6.81
Pr1 0.5000 0.5000 0.5000  -0.02
Ni1 0.2500 0.2500 0.2500  0.10
Cd1 0.7500 0.7500 0.7500  -0.01

=====

[3]
EuCdNiRh | PBE | relaxed

Values from the calculation:
M_tot = 6.8 μB per formula unit
ΔH_f (0 K) = -0.09 eV/atom
D(E_F) = 2.3338 states/eV/atom
space-group type = F-43m (216)

Unit cell a=4.7296 b=4.7296 c=4.7296 alpha=60.00 beta=60.00 gamma=60.00
Last column: magnetic moment on the atom in μB.
Fractional coordinates of all 4 atoms:
Eu1 0.2500 0.2500 0.2500  -6.67
Ni1 0.0000 0.0000 0.0000  0.04
Rh1 0.5000 0.5000 0.5000  0.05
Cd1 0.7500 0.7500 0.7500  -0.01

=====

[4]
EuYCdNi | PBE | relaxed

Values from the calculation:
M_tot = 7.0 μB per formula unit
ΔH_f (0 K) = -0.16 eV/atom
D(E_F) = 2.2098 states/eV/atom
space-group type = F-43m (216)

Unit cell a=5.1575 b=5.1575 c=5.1575 alpha=60.00 beta=60.00 gamma=60.00
Last column: magnetic moment on the atom in μB.
Fractional coordinates of all 4 atoms:
Eu1 0.2500 0.2500 0.2500  6.78
Y1 0.7500 0.7500 0.7500  0.02
Ni1 0.5000 0.5000 0.5000  -0.05
Cd1 0.0000 0.0000 0.0000  0.01

=====

[5]
Eu3Cd5O12 | PBE | relaxed

Values from the calculation:
M_tot = 12.9 μB per formula unit
uncorrected formation energy = -1306 meV per atom
D(E_F) = 0.9516 states/eV/atom
space-group type = Ia-3d (230)

Unit cell a=11.6244 b=11.6244 c=11.6244 alpha=109.47 beta=109.47 gamma=109.47
Last column: magnetic moment on the atom in μB.
Fractional coordinates of all 80 atoms:
Eu1 0.7500 0.3750 0.1250  6.26
Eu2 0.8750 0.7500 0.1250  6.26
Eu3 0.3750 0.7500 0.6250  6.26
Eu4 0.2500 0.1250 0.3750  6.26
Eu5 0.8750 0.1250 0.2500  6.26
Eu6 0.3750 0.6250 0.2500  6.26
Eu7 0.6250 0.3750 0.7500  6.26
Eu8 0.1250 0.8750 0.7500  6.26
Eu9 0.7500 0.8750 0.6250  6.26
Eu10 0.6250 0.2500 0.3750  6.26
Eu11 0.1250 0.2500 0.8750  6.26
Eu12 0.2500 0.6250 0.8750  6.26
Cd1 0.1250 0.3750 0.2500  -0.05
Cd2 0.0000 0.5000 0.0000  -0.09
Cd3 0.0000 0.0000 0.0000  -0.09
Cd4 0.3750 0.2500 0.1250  -0.05
Cd5 0.5000 0.0000 0.5000  -0.09
Cd6 0.5000 0.5000 0.0000  -0.09
Cd7 0.1250 0.7500 0.3750  -0.05
Cd8 0.7500 0.1250 0.8750  -0.05
Cd9 0.7500 0.6250 0.3750  -0.05
Cd10 0.3750 0.1250 0.7500  -0.05
Cd11 0.6250 0.8750 0.2500  -0.05
Cd12 0.5000 0.5000 0.5000  -0.09
Cd13 0.5000 0.0000 0.0000  -0.09
Cd14 0.0000 0.0000 0.5000  -0.09
Cd15 0.2500 0.3750 0.6250  -0.05
Cd16 0.2500 0.8750 0.1250  -0.05
Cd17 0.0000 0.5000 0.5000  -0.09
Cd18 0.8750 0.2500 0.6250  -0.05
Cd19 0.6250 0.7500 0.8750  -0.05
Cd20 0.8750 0.6250 0.7500  -0.05
O1 0.7230 0.1374 0.0525  -0.41
O2 0.3295 0.5525 0.4150  -0.41
O3 0.9475 0.3626 0.2770  -0.41
O4 0.5525 0.2230 0.1374  -0.41
O5 0.5856 0.7230 0.6705  -0.41
O6 0.9475 0.5850 0.1705  -0.41
O7 0.3295 0.7770 0.4144  -0.41
O8 0.0850 0.9144 0.1374  -0.41
O9 0.5850 0.9475 0.6705  -0.41
O10 0.7230 0.5856 0.1705  -0.41
O11 0.7770 0.4475 0.3626  -0.41
O12 0.8295 0.9150 0.0525  -0.41
O13 0.1374 0.7230 0.5525  -0.41
O14 0.3626 0.4150 0.0856  -0.41
O15 0.0856 0.9150 0.3626  -0.41
O16 0.4144 0.1374 0.5850  -0.41
O17 0.0856 0.1705 0.2230  -0.41
O18 0.4475 0.6705 0.0850  -0.41
O19 0.8295 0.9144 0.2770  -0.41
O20 0.1374 0.4144 0.0850  -0.41
O21 0.3626 0.9475 0.7770  -0.41
O22 0.5850 0.6374 0.4144  -0.41
O23 0.9150 0.8295 0.5525  -0.41
O24 0.7770 0.3295 0.9144  -0.41
O25 0.4150 0.3626 0.5856  -0.41
O26 0.0850 0.1705 0.4475  -0.41
O27 0.2230 0.6705 0.0856  -0.41
O28 0.1705 0.0856 0.7230  -0.41
O29 0.6374 0.0525 0.2230  -0.41
O30 0.8626 0.5856 0.9150  -0.41
O31 0.5525 0.3295 0.9150  -0.41
O32 0.5856 0.8626 0.4150  -0.41
O33 0.9144 0.8295 0.7770  -0.41
O34 0.9144 0.0850 0.6374  -0.41
O35 0.8626 0.2770 0.4475  -0.41
O36 0.1705 0.0850 0.9475  -0.41
O37 0.6374 0.5850 0.9144  -0.41
O38 0.4150 0.0525 0.3295  -0.41
O39 0.2770 0.4144 0.8295  -0.41
O40 0.2230 0.5525 0.6374  -0.41
O41 0.9150 0.0856 0.8626  -0.41
O42 0.6705 0.2230 0.5856  -0.41
O43 0.4475 0.7770 0.8626  -0.41
O44 0.0525 0.4150 0.8295  -0.41
O45 0.4144 0.2770 0.3295  -0.41
O46 0.0525 0.6374 0.7230  -0.41
O47 0.6705 0.4475 0.5850  -0.41
O48 0.2770 0.8626 0.9475  -0.41

=====

[6]
EuCd2P2 | PBE | relaxed

Values from the calculation:
M_tot = 7.0 μB per formula unit
ΔH_f (0 K) = -0.60 eV/atom
D(E_F) = 2.0097 states/eV/atom
space-group type = P-3m1 (164)

Unit cell a=4.3567 b=4.3567 c=7.1069 alpha=90.00 beta=90.00 gamma=120.00
Last column: magnetic moment on the atom in μB.
Fractional coordinates of all 5 atoms:
Eu1 0.0000 0.0000 0.0000  6.83
Cd1 0.6667 0.3333 0.3617  0.00
Cd2 0.3333 0.6667 0.6383  0.00
P1 0.6667 0.3333 0.7569  -0.03
P2 0.3333 0.6667 0.2431  -0.03

=====

[7]
Eu3CdP | PBE | relaxed

Values from the calculation:
M_tot = 22.5 μB per formula unit
ΔH_f (0 K) = -0.54 eV/atom
D(E_F) = 4.4610 states/eV/atom
space-group type = Pm-3m (221)

Unit cell a=5.6620 b=5.6620 c=5.6620 alpha=90.00 beta=90.00 gamma=90.00
Last column: magnetic moment on the atom in μB.
Fractional coordinates of all 5 atoms:
Eu1 0.0000 0.5000 0.0000  6.92
Eu2 0.0000 0.0000 0.5000  6.92
Eu3 0.5000 0.0000 0.0000  6.92
P1 0.0000 0.0000 0.0000  -0.09
Cd1 0.5000 0.5000 0.5000  0.06

=====

[8]
EuPaCd4 | PBE | relaxed

Values from the calculation:
M_tot = 8.4 μB per formula unit
ΔH_f (0 K) = 0.00 eV/atom
D(E_F) = 1.2365 states/eV/atom
space-group type = F-43m (216)

Unit cell a=5.9640 b=5.9640 c=5.9640 alpha=60.00 beta=60.00 gamma=60.00
Last column: magnetic moment on the atom in μB.
Fractional coordinates of all 6 atoms:
Eu1 0.0000 0.0000 0.0000  6.84
Pa1 0.2500 0.2500 0.2500  1.10
Cd1 0.6246 0.6246 0.1263  0.00
Cd2 0.6246 0.1263 0.6246  0.00
Cd3 0.6246 0.6246 0.6246  0.00
Cd4 0.1263 0.6246 0.6246  0.00

=====

[9]
EuCdPb2 | PBE | relaxed

Values from the calculation:
M_tot = 7.0 μB per formula unit
ΔH_f (0 K) = -0.35 eV/atom
relative energy among the computed polymorphs = 0.000 eV per atom
D(E_F) = 1.3164 states/eV/atom
space-group type = P4/mmm (123)

Unit cell a=4.6980 b=4.9401 c=4.9401 alpha=90.00 beta=90.00 gamma=90.00
Last column: magnetic moment on the atom in μB.
Fractional coordinates of all 4 atoms:
Pb1 0.0000 0.0000 0.5000  -0.01
Pb2 0.0000 0.5000 0.0000  -0.01
Eu1 0.5000 0.5000 0.5000  6.81
Cd1 0.5000 0.0000 0.0000  0.00

=====

[10]
EuCdPb2 | PBE | relaxed

Values from the calculation:
M_tot = 7.1 μB per formula unit
ΔH_f (0 K) = -0.25 eV/atom
relative energy among the computed polymorphs = 0.109 eV per atom
D(E_F) = 0.3046 states/eV/atom
space-group type = Fm-3m (225)

Unit cell a=5.5028 b=5.5028 c=5.5028 alpha=60.00 beta=60.00 gamma=60.00
Last column: magnetic moment on the atom in μB.
Fractional coordinates of all 4 atoms:
Pb1 0.2500 0.2500 0.2500  0.01
Pb2 0.7500 0.7500 0.7500  0.01
Eu1 0.5000 0.5000 0.5000  6.86
Cd1 0.0000 0.0000 0.0000  -0.01

=====

[11]
EuCd2Pb | PBE | relaxed

Values from the calculation:
M_tot = 7.2 μB per formula unit
ΔH_f (0 K) = -0.26 eV/atom
relative energy among the computed polymorphs = 0.036 eV per atom
D(E_F) = 1.4446 states/eV/atom
space-group type = Fm-3m (225)

Unit cell a=5.4038 b=5.4038 c=5.4038 alpha=60.00 beta=60.00 gamma=60.00
Last column: magnetic moment on the atom in μB.
Fractional coordinates of all 4 atoms:
Pb1 0.5000 0.5000 0.5000  -0.01
Eu1 0.0000 0.0000 0.0000  6.90
Cd1 0.2500 0.2500 0.2500  0.01
Cd2 0.7500 0.7500 0.7500  0.01

=====

[12]
Eu2CdPb | PBE | relaxed

Values from the calculation:
M_tot = 14.2 μB per formula unit
ΔH_f (0 K) = -0.48 eV/atom
D(E_F) = 3.4797 states/eV/atom
space-group type = P4/mmm (123)

Unit cell a=3.9576 b=5.6436 c=5.6436 alpha=90.00 beta=90.00 gamma=90.00
Last column: magnetic moment on the atom in μB.
Fractional coordinates of all 4 atoms:
Pb1 0.5000 0.5000 0.5000  -0.03
Eu1 0.0000 0.0000 0.5000  6.88
Eu2 0.0000 0.5000 0.0000  6.88
Cd1 0.5000 0.0000 0.0000  0.01

=====

[13]
EuCd2Pb | PBE | relaxed

Values from the calculation:
M_tot = 7.1 μB per formula unit
ΔH_f (0 K) = -0.30 eV/atom
relative energy among the computed polymorphs = 0.000 eV per atom
D(E_F) = 2.2062 states/eV/atom
space-group type = P4/mmm (123)

Unit cell a=4.9626 b=4.6922 c=4.6922 alpha=90.00 beta=90.00 gamma=90.00
Last column: magnetic moment on the atom in μB.
Fractional coordinates of all 4 atoms:
Pb1 0.5000 0.5000 0.5000  0.01
Eu1 0.5000 0.0000 0.0000  6.83
Cd1 0.0000 0.0000 0.5000  0.01
Cd2 0.0000 0.5000 0.0000  0.01